16
Lattice="5.976 0.000 0.000 0.000 3.102 0.000 0.000 0.000 8.109" Properties=species:S:1:pos:R:3 comment="TaNiB2 (PBEsol, optimized geometry)" delta_e_f_ev_per_atom=-0.708 e_tot_ev_per_cell=-142.293 rho_g_cm3=11.5 magmom_total_mub_per_cell=0.00 pbc="T T T"
Ta 0.794 0.775 1.077
Ta 2.194 2.326 5.131
Ta 3.782 0.775 2.978
Ta 5.182 2.326 7.033
Ni 0.004 0.775 4.994
Ni 2.984 2.326 0.939
Ni 2.992 0.775 7.170
Ni 5.972 2.326 3.116
B 1.026 0.775 6.744
B 1.439 0.775 3.442
B 1.549 2.326 7.496
B 1.962 2.326 2.689
B 4.014 0.775 5.420
B 4.427 0.775 0.613
B 4.537 2.326 4.667
B 4.950 2.326 1.365

6
Lattice="1.631 -6.580 0.000 1.631 6.580 0.000 0.000 0.000 3.042" Properties=species:S:1:pos:R:3 comment="TaNiB (PBEsol, optimized geometry)" delta_e_f_ev_per_atom=-0.662 e_tot_ev_per_cell=-55.425 rho_g_cm3=12.7 magmom_total_mub_per_cell=0.00 pbc="T T T"
Ta 1.631 5.278 2.281
Ta 1.631 -5.278 0.760
Ni 1.631 2.687 2.281
Ni 1.631 -2.687 0.760
B 1.631 0.468 2.281
B 1.631 -0.468 0.760